Entry 1:
First-principles (PBE-GGA) data for a geometry-optimized Te2RhAu structure, as listed in the Alexandria database.

Cell: 3.3311 3.3311 7.6059 Å, 90.00 90.00 90.00°
Space group P4/mmm (No. 123)
One atom of each set of equivalent atoms:
Te (0.0000, 0.0000, 0.2182)
Rh (0.5000, 0.5000, 0.0000)
Au (0.5000, 0.5000, 0.5000)

Results
D(E_F) (states/eV per atom): 0.578
Final energy (eV per atom): -4.1159
Offset from the most stable computed form (eV/atom): 0.354
Total magnetization (Bohr magnetons per cell): 0.00
Energy relative to the elements, uncorrected (eV per atom): 0.11

=====

Entry 2:
First-principles (PBE-GGA) data for a geometry-optimized Te6Rh2Au structure, as listed in the Alexandria database.

Cell: 12.2907 12.2907 5.3975 Å, 90.00 90.00 120.00°
Space group P-3m1 (No. 164)
One atom of each set of equivalent atoms:
Te (0.0857, 0.5429, 0.2688)
Te (0.1171, 0.2343, 0.2569)
Te (0.2095, 0.4190, 0.7350)
Rh (0.0000, 0.3339, 0.0000)
Au (0.0000, 0.0000, 0.0000)
Au (0.3333, 0.6667, 0.5166)

Results
D(E_F) (states/eV per atom): 0.507
Final energy (eV per atom): -4.3625
Total magnetization (Bohr magnetons per cell): 0.00
Energy relative to the elements, uncorrected (eV per atom): -0.27

=====

Entry 3:
First-principles (PBE-GGA) data for a geometry-optimized TeRhAu2 structure, as listed in the Alexandria database.

Cell: 3.7659 3.7659 20.4943 Å, 90.00 90.00 120.00°
Space group R3m (No. 160, hexagonal axes)
One atom of each set of equivalent atoms:
Te (0.0000, 0.0000, 0.0000)
Rh (0.0000, 0.0000, 0.2639)
Au (0.0000, 0.0000, 0.5180)
Au (0.0000, 0.0000, 0.7672)

Results
D(E_F) (states/eV per atom): 0.466
Final energy (eV per atom): -4.2152
Total magnetization (Bohr magnetons per cell): 0.00
Energy relative to the elements, uncorrected (eV per atom): 0.05

=====

Entry 4:
First-principles (PBE-GGA) data for a geometry-optimized TeRhAu2 structure, as listed in the Alexandria database.

Cell: 3.9749 3.9749 4.7646 Å, 90.00 90.00 90.00°
Space group P4/mmm (No. 123)
One atom of each set of equivalent atoms:
Te (0.0000, 0.0000, 0.0000)
Rh (0.5000, 0.5000, 0.0000)
Au (0.0000, 0.5000, 0.5000)

Results
D(E_F) (states/eV per atom): 0.862
Final energy (eV per atom): -4.0964
Total magnetization (Bohr magnetons per cell): 0.00
Energy relative to the elements, uncorrected (eV per atom): 0.17

=====

Q: Which value of energy relative to the elements, uncorrected does entry 2 give?
A: -0.27 eV per atom